(1)
NaDyAg2I6: relaxed, PBE.

## Properties
Formation energy without anion corrections: -20.046 kcal/mol of atoms
Space group: R-3 (148)

a b c (Å): 7.8678 7.8665 8.6905
angles (deg): 90.00 116.94 120.00
With the nearest neighbours (Å) after each atom.
Sites, in units of the cell vectors:
Na (0.9962, 0.4976, 0.4802)  6 I 3.25-3.26
Dy (0.9965, 0.9978, 0.9802)  6 I 3.05
Ag (0.4758, 0.7372, 0.1988)  3 I 2.78
Ag (0.5175, 0.2584, 0.7617)  3 I 2.78-2.79
I (0.5156, 0.9043, 0.7389)  1 Ag 2.79, 1 Dy 3.05
I (0.4773, 0.0911, 0.2216)  1 Ag 2.78, 1 Dy 3.05
I (0.8508, 0.7582, 0.2216)  1 Ag 2.78, 1 Dy 3.05
I (0.1447, 0.3852, 0.2219)  1 Ag 2.78, 1 Dy 3.05
I (0.8486, 0.6105, 0.7388)  1 Ag 2.78, 1 Dy 3.05
I (0.1425, 0.2374, 0.7390)  1 Ag 2.78, 1 Dy 3.05

(2)
Cu4Se: relaxed, PBE.

## Properties
Formation energy without anion corrections: 11.586 kcal/mol of atoms
Space group: Im-3m (229)

a b c (Å): 4.7960 4.7960 4.7960
angles (deg): 109.47 109.47 109.47
With the nearest neighbours (Å) after each atom.
Sites, in units of the cell vectors:
Cu (0.5000, 0.0000, 0.0000)  2 Se 2.40
Cu (0.5000, 0.5000, 0.5000)  2 Se 2.40
Cu (0.0000, 0.5000, 0.0000)  2 Se 2.40
Cu (0.0000, 0.0000, 0.5000)  2 Se 2.40
Se (0.0000, 0.0000, 0.0000)  8 Cu 2.40

(3)
Rb6AlO4: relaxed, PBE.

## Properties
Formation energy without anion corrections: -32.004 kcal/mol of atoms
Space group: P6_3mc (186)

a b c (Å): 6.6909 9.8669 9.8669
angles (deg): 120.00 90.00 90.00
With the nearest neighbours (Å) after each atom.
Sites, in units of the cell vectors:
Rb (0.4926, 0.7054, 0.8527)  1 O 2.65
Rb (0.4926, 0.1473, 0.2946)  1 O 2.65
Rb (0.4926, 0.1473, 0.8527)  1 O 2.65
Rb (0.9926, 0.2946, 0.1473)  1 O 2.65
Rb (0.9926, 0.8527, 0.7054)  1 O 2.65
Rb (0.9926, 0.8527, 0.1473)  1 O 2.65
Rb (0.6257, 0.9111, 0.4556)  3 O 2.80-3.01
Rb (0.6257, 0.5444, 0.0889)  3 O 2.80-3.01
Rb (0.6257, 0.5444, 0.4556)  3 O 2.80-3.01
Rb (0.1257, 0.0889, 0.5444)  3 O 2.80-3.01
Rb (0.1257, 0.4556, 0.9111)  3 O 2.80-3.01
Rb (0.1257, 0.4556, 0.5444)  3 O 2.80-3.01
Al (0.7233, 0.3333, 0.6667)  4 O 1.83
Al (0.2233, 0.6667, 0.3333)  4 O 1.83
O (0.4495, 0.3333, 0.6667)  1 Al 1.83
O (0.9495, 0.6667, 0.3333)  1 Al 1.83
O (0.8215, 0.5335, 0.7668)  1 Al 1.83
O (0.8215, 0.2332, 0.4665)  1 Al 1.83
O (0.8215, 0.2332, 0.7668)  1 Al 1.83
O (0.3215, 0.4665, 0.2332)  1 Al 1.83
O (0.3215, 0.7668, 0.5335)  1 Al 1.83
O (0.3215, 0.7668, 0.2332)  1 Al 1.83

(4)
TlCu2F6: relaxed, PBE.

## Properties
Formation energy without anion corrections: -36.573 kcal/mol of atoms
Relative energy among the computed polymorphs: 0 meV/atom
Space group: C2/m (12)

a b c (Å): 3.8818 5.7161 6.7555
angles (deg): 71.28 73.30 70.15
With the nearest neighbours (Å) after each atom.
Sites, in units of the cell vectors:
Tl (0.0000, 0.5000, 0.5000)  6 F 2.29-2.40
Cu (0.1709, 0.7569, 0.9014)  5 F 1.97-2.19
Cu (0.8291, 0.2431, 0.0986)  5 F 1.97-2.19
F (0.6969, 0.6952, 0.9111)  2 Cu 1.97
F (0.3031, 0.3048, 0.0889)  2 Cu 1.97
F (0.9925, 0.8223, 0.1927)  2 Cu 2.00-2.19
F (0.3466, 0.6938, 0.6129)  1 Cu 1.98
F (0.0075, 0.1777, 0.8073)  2 Cu 2.00-2.19
F (0.6534, 0.3062, 0.3871)  1 Cu 1.98

(5)
AcGa2As: relaxed, PBE.

## Properties
Formation energy from the elements: -522.3 meV/atom
Relative energy among the computed polymorphs: 0 meV/atom
Space group: P4/mmm (123)

a b c (Å): 4.9084 4.4874 4.4874
angles (deg): 90.00 90.00 90.00
With the nearest neighbours (Å) after each atom.
Sites, in units of the cell vectors:
Ac (0.5000, 0.0000, 0.0000)  4 As 3.17, 8 Ga 3.33
As (0.5000, 0.5000, 0.5000)  4 Ac 3.17, 8 Ga 3.33
Ga (0.0000, 0.0000, 0.5000)  4 Ga 3.17, 4 Ac 3.33, 4 As 3.33
Ga (0.0000, 0.5000, 0.0000)  4 Ga 3.17, 4 Ac 3.33, 4 As 3.33

(6)
LiP2Au: relaxed, PBE.

## Properties
Formation energy from the elements: 76.5 meV/atom
Relative energy among the computed polymorphs: 428 meV/atom
Space group: I-4m2 (119)

a b c (Å): 4.9805 4.9805 4.9805
angles (deg): 134.49 134.49 66.33
With the nearest neighbours (Å) after each atom.
Sites, in units of the cell vectors:
Au (0.5000, 0.5000, 0.0000)  8 P 2.72-2.84, 4 Li 2.84
Li (0.7500, 0.2500, 0.5000)  8 P 2.72-2.84, 4 Au 2.84
P (0.0000, 0.0000, 0.0000)  4 Au 2.72, 4 P 2.84, 4 Li 2.84
P (0.2500, 0.7500, 0.5000)  4 Li 2.72, 4 Au 2.84, 4 P 2.84

(7)
La3Y2Ho8: relaxed, PBE.

## Properties
Formation energy from the elements: 254.0 meV/atom
Relative energy among the computed polymorphs: 224 meV/atom
Space group: C2/m (12)

a b c (Å): 5.6481 7.7452 10.8071
angles (deg): 111.00 90.06 90.00
With the nearest neighbours (Å) after each atom.
Sites, in units of the cell vectors:
La (0.5000, 0.0000, 0.0000)  4 Ho 3.16
La (0.0000, 0.2992, 0.0000)  1 La 3.11
La (0.0000, 0.7008, 0.0000)  1 La 3.11
Y (0.4985, 0.2408, 0.4816)  8 Ho 3.32-3.53
Y (0.5015, 0.7592, 0.5184)  8 Ho 3.32-3.53
Ho (0.0012, 0.6723, 0.3447)  2 Y 3.32, 4 Ho 3.49
Ho (0.9988, 0.3277, 0.6553)  2 Y 3.32, 4 Ho 3.49
Ho (0.9993, 0.1365, 0.2729)  2 Y 3.52-3.53, 2 La 3.60, 5 Ho 3.66-3.86
Ho (0.0007, 0.8635, 0.7271)  2 Y 3.52-3.53, 2 La 3.60, 5 Ho 3.66-3.86
Ho (0.4997, 0.5981, 0.7810)  1 La 3.16, 3 Ho 3.22-3.49, 2 Y 3.42-3.49
Ho (0.4997, 0.1830, 0.7810)  1 La 3.16, 3 Ho 3.22-3.49, 2 Y 3.42-3.49
Ho (0.5003, 0.8170, 0.2190)  1 La 3.16, 3 Ho 3.22-3.49, 2 Y 3.42-3.49
Ho (0.5003, 0.4019, 0.2190)  1 La 3.16, 3 Ho 3.22-3.49, 2 Y 3.42-3.49

(8)
MgScS2: relaxed, PBE.

## Properties
Formation energy without anion corrections: -30.885 kcal/mol of atoms
Space group: I-42d (122)

a b c (Å): 5.8066 5.8066 6.9787
angles (deg): 65.42 65.42 90.00
With the nearest neighbours (Å) after each atom.
Sites, in units of the cell vectors:
Sc (0.0000, 0.0000, 0.0000)  4 S 2.52
Sc (0.7500, 0.2500, 0.5000)  4 S 2.52
S (0.6161, 0.1250, 0.2500)  2 Mg 2.46, 2 Sc 2.52
S (0.1339, 0.6250, 0.2500)  2 Mg 2.46, 2 Sc 2.52
S (0.3750, 0.3839, 0.7500)  2 Mg 2.46, 2 Sc 2.52
S (0.8750, 0.8661, 0.7500)  2 Mg 2.46, 2 Sc 2.52
Mg (0.5000, 0.5000, 0.0000)  4 S 2.46
Mg (0.2500, 0.7500, 0.5000)  4 S 2.46

(9)
ZrTlCoB2: relaxed, PBE.

## Properties
Formation energy from the elements: 1914.0 meV/atom
Space group: P4/mmm (123)

a b c (Å): 4.3108 4.7151 4.3108
angles (deg): 90.00 90.00 90.00
With the nearest neighbours (Å) after each atom.
Sites, in units of the cell vectors:
Tl (0.0000, 0.0000, 0.0000)  4 B 2.16, 2 Co 2.36
B (0.0000, 0.0000, 0.5000)  2 Tl 2.16
B (0.5000, 0.0000, 0.0000)  2 Tl 2.16
Co (0.0000, 0.5000, 0.0000)  2 Tl 2.36
Zr (0.5000, 0.5000, 0.5000)  4 Co 3.05, 8 B 3.19

(10)
BiHCl3: relaxed, PBE.

## Properties
Relative energy among the computed polymorphs: 381 meV/atom
Space group: Pm-3m (221)

a b c (Å): 5.4267 5.4267 5.4267
angles (deg): 90.00 90.00 90.00
With the nearest neighbours (Å) after each atom.
Sites, in units of the cell vectors:
H (0.5000, 0.5000, 0.5000)  12 Cl 3.84
Bi (0.0000, 0.0000, 0.0000)  6 Cl 2.71
Cl (0.0000, 0.5000, 0.0000)  2 Bi 2.71
Cl (0.0000, 0.0000, 0.5000)  2 Bi 2.71
Cl (0.5000, 0.0000, 0.0000)  2 Bi 2.71

(11)
ScMo4: relaxed, PBE.

## Properties
Formation energy from the elements: 2068.4 meV/atom
Relative energy among the computed polymorphs: 2058 meV/atom
Space group: Pm-3m (221)

a b c (Å): 4.5324 4.5324 4.5324
angles (deg): 90.00 90.00 90.00
With the nearest neighbours (Å) after each atom.
Sites, in units of the cell vectors:
Sc (0.5000, 0.5000, 0.5000)  6 Mo 2.27
Mo (0.0000, 0.0000, 0.0000)  12 Mo 3.20
Mo (0.5000, 0.0000, 0.5000)  2 Sc 2.27
Mo (0.0000, 0.5000, 0.5000)  2 Sc 2.27
Mo (0.5000, 0.5000, 0.0000)  2 Sc 2.27

(12)
BaMn2: relaxed, PBE.

## Properties
Formation energy from the elements: 448.1 meV/atom
Space group: Cm (8)

a b c (Å): 4.2074 4.2074 11.3294
angles (deg): 79.46 79.46 59.99
With the nearest neighbours (Å) after each atom.
Sites, in units of the cell vectors:
Ba (0.0202, 0.0202, 0.0447)  4 Mn 3.35-3.50
Ba (0.8133, 0.8133, 0.6777)  4 Mn 3.35-3.50
Mn (0.2498, 0.2498, 0.3614)  9 Mn 2.43-2.71
Mn (0.5481, 0.5481, 0.4687)  1 Mn 2.39
Mn (0.9166, 0.9166, 0.3612)  9 Mn 2.43-2.71
Mn (0.6186, 0.6186, 0.2529)  1 Mn 2.39

(13)
YCdAgSn: relaxed, PBE.

## Properties
Formation energy from the elements: -388.0 meV/atom
Relative energy among the computed polymorphs: 0 meV/atom
Space group: Pmmm (47)

a b c (Å): 4.3802 4.4746 4.7667
angles (deg): 90.00 90.00 90.00
With the nearest neighbours (Å) after each atom.
Sites, in units of the cell vectors:
Y (0.0000, 0.0000, 0.0000)  4 Sn 3.13, 4 Ag 3.24, 4 Cd 3.27
Cd (0.0000, 0.5000, 0.5000)  4 Ag 3.13, 4 Sn 3.24, 4 Y 3.27
Ag (0.5000, 0.0000, 0.5000)  4 Cd 3.13, 4 Y 3.24, 4 Sn 3.27
Sn (0.5000, 0.5000, 0.0000)  4 Y 3.13, 4 Cd 3.24, 4 Ag 3.27

The total moment results, record by record, are as follows: 0.000, 0.000, 0.019, 0.167, 0.000, 0.000, 0.000, 0.209, 0.220, 0.200, 0.000, 1.208, 0.000 μB per atom.
The final energy results, record by record, are as follows: -2.962, -3.471, -4.059, -4.007, -4.225, -3.926, -4.695, -5.385, -4.361, -2.833, -7.863, -6.306, -3.946 eV per atom.